MgCuS2O: relaxed, PBE.

Lattice parameters (Å, degrees): 4.572 4.572 5.166 90.00 90.00 90.00
Fractional coordinates of all 5 atoms:
Mg1 0.000 0.000 0.000
Cu1 0.000 0.000 0.500
S1 0.000 0.500 0.000
S2 0.500 0.000 0.000
O1 0.500 0.500 0.500

## Properties
Uncorrected energy, eV per formula unit: -13.5
V, Å³ per atom: 21.60
Density, g cm⁻³: 2.58

---

MgCu3Sb4O12: relaxed, PBE.

Lattice parameters (Å, degrees): 6.774 6.774 6.774 109.47 109.47 109.47
Fractional coordinates of all 20 atoms:
Mg1 0.000 0.000 0.000
Cu1 0.000 0.500 0.500
Cu2 0.500 0.000 0.500
Cu3 0.500 0.500 0.000
Sb1 0.000 0.000 0.500
Sb2 0.000 0.500 0.000
Sb3 0.500 0.000 0.000
Sb4 0.500 0.500 0.500
O1 0.126 0.828 0.298
O2 0.172 0.298 0.471
O3 0.172 0.702 0.874
O4 0.298 0.126 0.828
O5 0.298 0.471 0.172
O6 0.471 0.172 0.298
O7 0.529 0.828 0.702
O8 0.702 0.529 0.828
O9 0.702 0.874 0.172
O10 0.828 0.298 0.126
O11 0.828 0.702 0.529
O12 0.874 0.172 0.702

## Properties
Uncorrected energy, eV per formula unit: -112.1
V, Å³ per atom: 11.97
Density, g cm⁻³: 6.20

---

MgCuSb2O: relaxed, PBE.

Lattice parameters (Å, degrees): 4.911 4.911 4.796 90.00 90.00 90.00
Fractional coordinates of all 5 atoms:
Mg1 0.000 0.000 0.000
Cu1 0.000 0.000 0.500
Sb1 0.000 0.500 0.500
Sb2 0.500 0.000 0.500
O1 0.500 0.500 0.000

## Properties
Uncorrected energy, eV per formula unit: -16.2
V, Å³ per atom: 23.13
Density, g cm⁻³: 4.99

---

MgScCu2O: relaxed, PBE.

Lattice parameters (Å, degrees): 4.782 4.782 3.695 90.00 90.00 90.00
Fractional coordinates of all 5 atoms:
Mg1 0.000 0.000 0.000
Sc1 0.500 0.500 0.500
Cu1 0.000 0.500 0.000
Cu2 0.500 0.000 0.000
O1 0.000 0.000 0.500

## Properties
Uncorrected energy, eV per formula unit: -21.8
V, Å³ per atom: 16.90
Density, g cm⁻³: 4.17